Record 1
K2DySiO4: optimized geometry, PBE.

Calculated values
DOS(E_F) (states/eV per cell): 15.8

a = 5.6382 Å, b = 12.4496 Å, c = 22.8930 Å
α = 90.00°, β = 90.00°, γ = 90.00°
Space group Fddd (No. 70, origin choice 2)
Unique sites:
1 K 0.1250 0.1250 0.3097 (multiplicity 16)
2 Dy 0.1250 0.1250 0.1250 (multiplicity 8)
3 Si 0.1250 0.1250 0.6250 (multiplicity 8)
4 O 0.0623 0.2953 0.8384 (multiplicity 32)

Record 2
K3SmDy2O6: optimized geometry, PBE.

Calculated values
DOS(E_F) (states/eV per cell): 0.0

a = 6.0952 Å, b = 10.5579 Å, c = 6.5938 Å
α = 90.00°, β = 107.95°, γ = 90.00°
Space group C2/m (No. 12)
Unique sites:
1 K 0.0000 0.0000 0.0000 (multiplicity 2)
2 K 0.0000 0.3325 0.0000 (multiplicity 4)
3 Sm 0.0000 0.5000 0.5000 (multiplicity 2)
4 Dy 0.0000 0.1667 0.5000 (multiplicity 4)
5 O 0.2223 0.0000 0.6867 (multiplicity 4)
6 O 0.2322 0.3301 0.6865 (multiplicity 8)

Record 3
K2SmDyO4: optimized geometry, PBE.

Calculated values
DOS(E_F) (states/eV per cell): 0.0

a = 6.1248 Å, b = 3.5361 Å, c = 6.6009 Å
α = 90.00°, β = 107.98°, γ = 90.00°
Space group P2/m (No. 10)
Unique sites:
1 K 0.0000 0.0000 0.0000 (multiplicity 1)
2 K 0.5000 0.5000 0.0000 (multiplicity 1)
3 Sm 0.0000 0.5000 0.5000 (multiplicity 1)
4 Dy 0.5000 0.0000 0.5000 (multiplicity 1)
5 O 0.2352 0.0000 0.6879 (multiplicity 2)
6 O 0.2767 0.5000 0.3136 (multiplicity 2)

Record 4
K3Sm2DyO6: optimized geometry, PBE.

Calculated values
DOS(E_F) (states/eV per cell): 0.0

a = 6.1543 Å, b = 10.6602 Å, c = 6.6118 Å
α = 90.00°, β = 108.08°, γ = 90.00°
Space group C2/m (No. 12)
Unique sites:
1 K 0.0000 0.0000 0.0000 (multiplicity 2)
2 K 0.0000 0.3344 0.0000 (multiplicity 4)
3 Sm 0.0000 0.1667 0.5000 (multiplicity 4)
4 Dy 0.0000 0.5000 0.5000 (multiplicity 2)
5 O 0.2260 0.3366 0.6878 (multiplicity 8)
6 O 0.2357 0.0000 0.6875 (multiplicity 4)

Raw formation energy readings, ordered: -2.169, -2.731, -2.712, -2.697 eV/atom
Final energy readings, ordered: -6.18, -6.64, -6.63, -6.62 eV/atom